Entry 1:
VASP calculation (PBE-GGA) on an optimized crystal structure of TiBiSe2.

## Properties
**Theoretical density**: 7.0 g/cm3
**Spin magnetization**: 0.000 μB/f.u.
**Total DFT energy (no corrections)**: -5.459 eV/atom
**ΔE_f (raw)**: -3.1 eV/f.u.

abc: 6.361 3.482 8.985
angles: 90.00 95.63 90.00
Space group P2 (No. 3)
Asymmetric unit:
Ti  0.000  0.000  0.000 x1
Ti  0.500  0.498  0.000 x1
Bi  0.250  0.257  0.500 x2
Se  0.196  0.491  0.173 x2
Se  0.304  0.007  0.827 x2


Entry 2:
VASP calculation (PBE-GGA) on an optimized crystal structure of Re3SbW.

## Properties
**Theoretical density**: 13.1 g/cm3
**Spin magnetization**: 1.248 μB/f.u.
**Total DFT energy (no corrections)**: -8.734 eV/atom
**Energy relative to the lowest polymorph listed for this composition**: 0.0000 eV/atom
**ΔE_f (raw)**: 10.8 eV/f.u.

abc: 4.783 4.783 4.783
angles: 90.00 90.00 90.00
Space group Pm-3m (No. 221)
Asymmetric unit:
Re  0.000  0.000  0.500 x3
Sb  0.500  0.500  0.500 x1
W  0.000  0.000  0.000 x1


Entry 3:
VASP calculation (PBE-GGA) on an optimized crystal structure of BaInBr.

## Properties
**Theoretical density**: 4.3 g/cm3
**Spin magnetization**: 0.000 μB/f.u.
**Total DFT energy (no corrections)**: -2.928 eV/atom
**Energy relative to the lowest polymorph listed for this composition**: 0.0000 eV/atom
**ΔE_f (raw)**: -2.5 eV/f.u.

abc: 4.333 4.333 13.675
angles: 90.00 90.00 90.00
Space group I4mm (No. 107)
Asymmetric unit:
Ba  0.000  0.000  0.000 x2
In  0.000  0.000  0.348 x2
Br  0.000  0.000  0.599 x2


Entry 4:
VASP calculation (PBE-GGA) on an optimized crystal structure of Ti4HCN2.

## Properties
**Theoretical density**: 5.0 g/cm3
**Spin magnetization**: 0.000 μB/f.u.
**Total DFT energy (no corrections)**: -8.839 eV/atom

abc: 5.185 3.032 5.259
angles: 90.00 109.47 90.00
Space group P2/m (No. 10)
Asymmetric unit:
Ti  0.238  0.000  0.235 x2
Ti  0.242  0.500  0.755 x2
H  0.500  0.500  0.500 x1
C  0.000  0.000  0.500 x1
N  0.000  0.500  0.000 x1
N  0.500  0.000  0.000 x1


Entry 5:
VASP calculation (PBE-GGA) on an optimized crystal structure of SiBiSb2H.

## Properties
**Theoretical density**: 6.0 g/cm3
**Spin magnetization**: 0.000 μB/f.u.
**Total DFT energy (no corrections)**: -3.374 eV/atom

abc: 5.887 5.887 3.818
angles: 90.00 90.00 90.00
Space group P4/mmm (No. 123)
Asymmetric unit:
Si  0.000  0.000  0.000 x1
Bi  0.500  0.500  0.500 x1
Sb  0.000  0.500  0.500 x2
H  0.500  0.500  0.000 x1


Entry 6:
VASP calculation (PBE-GGA) on an optimized crystal structure of HfScBeIr.

## Properties
**Theoretical density**: 10.5 g/cm3
**Spin magnetization**: 0.000 μB/f.u.
**Total DFT energy (no corrections)**: -7.746 eV/atom

abc: 6.445 6.445 6.445
angles: 90.00 90.00 90.00
Space group F-43m (No. 216)
Asymmetric unit:
Hf  0.000  0.000  0.000 x4
Sc  0.000  0.000  0.500 x4
Be  0.250  0.250  0.250 x4
Ir  0.250  0.250  0.750 x4


Entry 7:
VASP calculation (PBE-GGA) on an optimized crystal structure of MnV4W.

## Properties
**Theoretical density**: 9.2 g/cm3
**Spin magnetization**: 0.000 μB/f.u.
**Total DFT energy (no corrections)**: -9.865 eV/atom
**Energy relative to the lowest polymorph listed for this composition**: 0.0000 eV/atom

abc: 2.668 4.158 7.239
angles: 90.00 90.19 90.00
Space group P2/m (No. 10)
Asymmetric unit:
Mn  0.000  0.000  0.000 x1
V  0.325  0.000  0.321 x2
V  0.329  0.500  0.844 x2
W  0.000  0.500  0.500 x1


Entry 8:
VASP calculation (PBE-GGA) on an optimized crystal structure of HfTiS2Cl.

## Properties
**Theoretical density**: 5.4 g/cm3
**Spin magnetization**: 1.355 μB/f.u.
**Total DFT energy (no corrections)**: -5.962 eV/atom
**Energy relative to the lowest polymorph listed for this composition**: 0.0580 eV/atom
**ΔE_f (raw)**: -1.9 eV/f.u.

abc: 4.724 4.724 4.516
angles: 90.00 90.00 90.00
Space group P4/mmm (No. 123)
Asymmetric unit:
Hf  0.000  0.000  0.000 x1
Ti  0.500  0.500  0.500 x1
S  0.000  0.500  0.500 x2
Cl  0.500  0.500  0.000 x1